1.
Below is crystalline RbNiTe3 at its relaxed geometry, with properties calculated at the PBE level.

abc: 5.2456 5.2456 5.2456
angles: 90.00 90.00 90.00
With the nearest neighbours (Å) after each atom.
Space group Pm-3m (No. 221)
Symmetry-distinct sites (fractional):
Rb (0.0000, 0.0000, 0.0000) (multiplicity 1)  12 Te 3.71
Ni (0.5000, 0.5000, 0.5000) (multiplicity 1)  6 Te 2.62
Te (0.0000, 0.5000, 0.5000) (multiplicity 3)  2 Ni 2.62

Crystal system: cubic
Energy relative to the elements, uncorrected, kcal/mol of atoms: -3.98

---

2.
Below is crystalline Li12Cd6Ni at its relaxed geometry, with properties calculated at the PBE level.

abc: 10.0661 10.0661 12.2291
angles: 90.00 90.00 120.00
With the nearest neighbours (Å) after each atom.
Space group R-3 (No. 148, hexagonal axes)
Symmetry-distinct sites (fractional):
Li (0.0390, 0.8560, 0.3162) (multiplicity 18)  1 Ni 2.81, 4 Li 2.86-2.93, 5 Cd 2.91-3.12
Li (0.0626, 0.2152, 0.9112) (multiplicity 18)  4 Cd 2.88-2.94, 4 Li 2.91-2.95
Cd (0.0313, 0.5929, 0.2093) (multiplicity 18)  1 Ni 2.79, 9 Li 2.88-3.12, 2 Cd 2.94
Ni (0.0000, 0.0000, 0.5000) (multiplicity 3)  6 Cd 2.79, 6 Li 2.81

Energy of formation, eV/atom: -0.1526
Crystal system: trigonal

---

3.
Below is crystalline Pm3HoMg at its relaxed geometry, with properties calculated at the PBE level.

abc: 22.5940 3.5348 8.5560
angles: 90.00 108.45 90.00
With the nearest neighbours (Å) after each atom.
Space group C2/m (No. 12)
Symmetry-distinct sites (fractional):
Pm (0.0172, 0.0000, 0.2233) (multiplicity 4)  4 Mg 3.45-3.54, 8 Pm 3.49-3.68
Pm (0.1211, 0.5000, 0.0377) (multiplicity 4)  8 Pm 3.53-3.73, 1 Mg 3.56, 3 Ho 3.57-3.61
Pm (0.1763, 0.0000, 0.4414) (multiplicity 4)  3 Ho 3.45-3.55, 2 Mg 3.47, 7 Pm 3.49-3.73
Ho (0.2342, 0.5000, 0.8192) (multiplicity 4)  4 Ho 3.44-3.53, 6 Pm 3.45-3.61, 1 Mg 3.47
Mg (0.0760, 0.5000, 0.5990) (multiplicity 4)  3 Mg 3.31-3.53, 7 Pm 3.45-3.56, 1 Ho 3.47

Energy of formation, eV/atom: 0.0631
Crystal system: monoclinic

---

no.,density of states at the Fermi level (states/eV per cell)
1,4.0
2,22.4
3,28.9